BeTl2Se | GGA-PBE | relaxed

Lattice parameters (Å, degrees): 5.0460 5.0460 4.0844 94.38 94.38 104.56
With the nearest neighbours (Å) after each atom.
Fractional coordinates of all 4 atoms:
Be (0.0000, 0.0000, 0.0000)  2 Se 3.09, 8 Tl 3.12-3.37
Tl (0.0000, 0.5000, 0.5000)  2 Tl 3.09, 4 Se 3.12-3.37, 4 Be 3.12-3.37
Tl (0.5000, 0.0000, 0.5000)  2 Tl 3.09, 4 Se 3.12-3.37, 4 Be 3.12-3.37
Se (0.5000, 0.5000, 0.0000)  2 Be 3.09, 8 Tl 3.12-3.37

DOS at the Fermi energy in states/eV/f.u.: 1.76
Energy in eV per atom: -2.565
Offset from the most stable computed form in meV/atom: 611
Formation energy (no corrections) in eV per atom: 0.420
SG: No. 12